(1)
# ZrTc4Hg

Crystalline ZrTc4Hg at its relaxed geometry (PBE, the Alexandria database).

The uncorrected energy comes out at -8.32 eV per atom. The calculation puts the energy of formation from the pure elements at 6.6 kJ per mole of atoms. The calculation puts the magnetization at 0.00 μB per formula unit.

The space group is F-43m (No. 216) and the conventional cell measures 7.425, 7.425 and 7.425 Å, with angles of 90.00, 90.00 and 90.00 degrees. The inequivalent atoms are Zr at (0.000, 0.000, 0.000), Tc at (0.124, 0.124, 0.376) and Hg at (0.250, 0.250, 0.750).

---

(2)
# Sb2HOsPb

Crystalline Sb2HOsPb at its relaxed geometry (PBE, the Alexandria database).

The uncorrected energy comes out at -4.67 eV per atom. The calculation puts the magnetization at 0.00 μB per formula unit.

The space group is P4/mmm (No. 123) and the conventional cell measures 5.229, 5.229 and 3.556 Å, with angles of 90.00, 90.00 and 90.00 degrees. The inequivalent atoms are Sb at (0.000, 0.500, 0.000), H at (0.000, 0.000, 0.000), Os at (0.000, 0.000, 0.500) and Pb at (0.500, 0.500, 0.500).